1.
# ZrCoSiHg | the Open Quantum Materials Database | GGA-PBE | optimized geometry
# E_tot: -20.709 eV/cell
# Calculated volume: 16.88 Å³ per atom
# Polymorph energy (0 for the lowest one): 0.106 eV per atom
# Space group: F-43m, No. 216
data_ZrCoSiHg
_cell_length_a 4.5707
_cell_length_b 4.5707
_cell_length_c 4.5707
_cell_angle_alpha 60.00
_cell_angle_beta 60.00
_cell_angle_gamma 60.00
_symmetry_space_group_name_H-M 'P 1'
_symmetry_Int_Tables_number 1
loop_
_symmetry_equiv_pos_as_xyz
'x,y,z'
loop_
_atom_site_label
_atom_site_fract_x
_atom_site_fract_y
_atom_site_fract_z
Zr1 0.5000 0.5000 0.5000
Hg1 0.2500 0.2500 0.2500
Co1 0.7500 0.7500 0.7500
Si1 0.0000 0.0000 0.0000


2.
# LiOsNO | the Open Quantum Materials Database | GGA-PBE | optimized geometry
# E_tot: -56.414 eV/cell
# Calculated volume: 11.29 Å³ per atom
# Polymorph energy (0 for the lowest one): 0.021 eV per atom
# Space group: Pmc2_1, No. 26
data_LiOsNO
_cell_length_a 2.8967
_cell_length_b 5.4599
_cell_length_c 5.7113
_cell_angle_alpha 90.00
_cell_angle_beta 90.00
_cell_angle_gamma 90.00
_symmetry_space_group_name_H-M 'P 1'
_symmetry_Int_Tables_number 1
loop_
_symmetry_equiv_pos_as_xyz
'x,y,z'
loop_
_atom_site_label
_atom_site_fract_x
_atom_site_fract_y
_atom_site_fract_z
N1 0.0000 0.8551 0.3551
N2 0.0000 0.3551 0.6449
Os1 0.0000 0.0186 0.6420
Os2 0.0000 0.5186 0.3580
O1 0.5000 0.3672 0.1518
O2 0.5000 0.8672 0.8482
Li1 0.5000 0.0132 0.1531
Li2 0.5000 0.5132 0.8469


3.
# YTmAu2 | the Open Quantum Materials Database | GGA-PBE | optimized geometry
# E_tot: -21.043 eV/cell
# Calculated volume: 23.42 Å³ per atom
# Energy of formation: -0.89 eV per atom
# Space group: Amm2, No. 38
data_YTmAu2
_cell_length_a 4.6431
_cell_length_b 5.7621
_cell_length_c 5.7621
_cell_angle_alpha 37.43
_cell_angle_beta 90.00
_cell_angle_gamma 90.00
_symmetry_space_group_name_H-M 'P 1'
_symmetry_Int_Tables_number 1
loop_
_symmetry_equiv_pos_as_xyz
'x,y,z'
loop_
_atom_site_label
_atom_site_fract_x
_atom_site_fract_y
_atom_site_fract_z
Y1 0.0000 0.6398 0.6398
Au1 0.5000 0.0886 0.0886
Au2 0.0000 0.9109 0.9109
Tm1 0.5000 0.3607 0.3607


4.
# Nd2Mg4Ta | the Open Quantum Materials Database | GGA-PBE | optimized geometry
# E_tot: -17.953 eV/cell
# Calculated volume: 37.98 Å³ per atom
# Space group: I4/mmm, No. 139
data_Nd2Mg4Ta
_cell_length_a 7.4250
_cell_length_b 7.4250
_cell_length_c 7.4250
_cell_angle_alpha 98.28
_cell_angle_beta 98.28
_cell_angle_gamma 135.41
_symmetry_space_group_name_H-M 'P 1'
_symmetry_Int_Tables_number 1
loop_
_symmetry_equiv_pos_as_xyz
'x,y,z'
loop_
_atom_site_label
_atom_site_fract_x
_atom_site_fract_y
_atom_site_fract_z
Mg1 0.7011 0.5000 0.2011
Mg2 0.5000 0.2989 0.7989
Mg3 0.5000 0.7011 0.2011
Mg4 0.2989 0.5000 0.7989
Nd1 0.7500 0.2500 0.5000
Nd2 0.2500 0.7500 0.5000
Ta1 0.0000 0.0000 0.0000


5.
# BaPrCdP2 | the Open Quantum Materials Database | GGA-PBE | optimized geometry
# E_tot: -45.697 eV/cell
# Calculated volume: 27.30 Å³ per atom
# Space group: Cmc2_1, No. 36
data_BaPrCdP2
_cell_length_a 9.1749
_cell_length_b 9.1749
_cell_length_c 7.0875
_cell_angle_alpha 90.00
_cell_angle_beta 90.00
_cell_angle_gamma 152.77
_symmetry_space_group_name_H-M 'P 1'
_symmetry_Int_Tables_number 1
loop_
_symmetry_equiv_pos_as_xyz
'x,y,z'
loop_
_atom_site_label
_atom_site_fract_x
_atom_site_fract_y
_atom_site_fract_z
Pr1 0.9684 0.0316 0.2367
Pr2 0.0316 0.9684 0.7367
P1 0.1674 0.8326 0.9515
P2 0.8326 0.1674 0.4515
P3 0.5524 0.4476 0.4403
P4 0.4476 0.5524 0.9403
Ba1 0.8014 0.1986 0.9267
Ba2 0.1986 0.8014 0.4267
Cd1 0.6026 0.3974 0.0788
Cd2 0.3974 0.6026 0.5788


6.
# NbInTcNi | the Open Quantum Materials Database | GGA-PBE | optimized geometry
# E_tot: -28.817 eV/cell
# Calculated volume: 15.97 Å³ per atom
# Polymorph energy (0 for the lowest one): 0.000 eV per atom
# Space group: F-43m, No. 216
data_NbInTcNi
_cell_length_a 4.4870
_cell_length_b 4.4870
_cell_length_c 4.4870
_cell_angle_alpha 60.00
_cell_angle_beta 60.00
_cell_angle_gamma 60.00
_symmetry_space_group_name_H-M 'P 1'
_symmetry_Int_Tables_number 1
loop_
_symmetry_equiv_pos_as_xyz
'x,y,z'
loop_
_atom_site_label
_atom_site_fract_x
_atom_site_fract_y
_atom_site_fract_z
In1 0.0000 0.0000 0.0000
Ni1 0.7500 0.7500 0.7500
Tc1 0.2500 0.2500 0.2500
Nb1 0.5000 0.5000 0.5000


7.
# Ba3LuB3O9 | the Open Quantum Materials Database | GGA-PBE | optimized geometry
# E_tot: -729.802 eV/cell
# Calculated volume: 13.67 Å³ per atom
# Space group: P6_3cm, No. 185
data_Ba3LuB3O9
_cell_length_a 9.4004
_cell_length_b 9.4004
_cell_length_c 17.1499
_cell_angle_alpha 90.00
_cell_angle_beta 90.00
_cell_angle_gamma 120.00
_symmetry_space_group_name_H-M 'P 1'
_symmetry_Int_Tables_number 1
loop_
_symmetry_equiv_pos_as_xyz
'x,y,z'
loop_
_atom_site_label
_atom_site_fract_x
_atom_site_fract_y
_atom_site_fract_z
B1 0.3391 0.3391 0.9223
B2 0.0000 0.3391 0.4223
B3 0.3391 0.0000 0.4223
B4 0.6609 0.6609 0.4223
B5 0.6670 0.0000 0.7490
B6 0.3330 0.3330 0.7490
B7 0.6724 0.0000 0.5747
B8 0.6724 0.6724 0.0747
B9 0.0000 0.3276 0.0747
B10 0.0000 0.6670 0.7490
B11 0.6609 0.0000 0.9223
B12 0.3276 0.3276 0.5747
B13 0.3276 0.0000 0.0747
B14 0.0000 0.6724 0.5747
B15 0.0000 0.3330 0.2490
B16 0.3330 0.0000 0.2490
B17 0.0000 0.6609 0.9223
B18 0.6670 0.6670 0.2490
O1 0.8522 0.5138 0.9181
O2 0.0000 0.8079 0.9311
O3 0.1921 0.0000 0.4311
O4 0.4809 0.4809 0.7486
O5 0.8079 0.8079 0.4311
O6 0.5253 0.6725 0.0703
O7 0.1852 0.8521 0.2496
O8 0.5191 0.0000 0.7486
O9 0.1809 0.0000 0.0826
O10 0.6725 0.5253 0.0703
O11 0.6725 0.1473 0.5703
O12 0.6617 0.1478 0.9181
O13 0.1479 0.3331 0.2496
O14 0.4747 0.3275 0.5703
O15 0.5253 0.8527 0.5703
O16 0.8191 0.8191 0.0826
O17 0.4862 0.3383 0.9181
O18 0.0000 0.1809 0.0826
O19 0.3383 0.4862 0.9181
O20 0.1921 0.1921 0.9311
O21 0.3331 0.1852 0.7496
O22 0.3383 0.8522 0.4181
O23 0.4747 0.1473 0.0703
O24 0.0000 0.1921 0.4311
O25 0.1473 0.4747 0.0703
O26 0.8527 0.3275 0.0703
O27 0.1473 0.6725 0.5703
O28 0.3275 0.8527 0.0703
O29 0.8521 0.6669 0.7496
O30 0.5191 0.5191 0.2486
O31 0.1478 0.4862 0.4181
O32 0.1478 0.6617 0.9181
O33 0.8521 0.1852 0.2496
O34 0.0000 0.8191 0.5826
O35 0.8148 0.1479 0.7496
O36 0.6669 0.8148 0.2496
O37 0.5138 0.6617 0.4181
O38 0.1852 0.3331 0.7496
O39 0.1479 0.8148 0.7496
O40 0.6617 0.5138 0.4181
O41 0.8522 0.3383 0.4181
O42 0.8148 0.6669 0.2496
O43 0.3275 0.4747 0.5703
O44 0.8527 0.5253 0.5703
O45 0.0000 0.4809 0.2486
O46 0.1809 0.1809 0.5826
O47 0.8079 0.0000 0.9311
O48 0.8191 0.0000 0.5826
O49 0.4809 0.0000 0.2486
O50 0.6669 0.8521 0.7496
O51 0.0000 0.5191 0.7486
O52 0.3331 0.1479 0.2496
O53 0.5138 0.8522 0.9181
O54 0.4862 0.1478 0.4181
Ba1 0.0000 0.0000 0.2220
Ba2 0.3442 0.3442 0.1271
Ba3 0.0000 0.0000 0.7220
Ba4 0.6558 0.0000 0.1271
Ba5 0.0000 0.6558 0.1271
Ba6 0.3333 0.6667 0.7724
Ba7 0.6667 0.3333 0.2724
Ba8 0.6781 0.6781 0.8728
Ba9 0.0000 0.6781 0.3728
Ba10 0.3442 0.0000 0.6271
Ba11 0.3219 0.3219 0.3728
Ba12 0.3219 0.0000 0.8728
Ba13 0.6781 0.0000 0.3728
Ba14 0.0000 0.3442 0.6271
Ba15 0.6667 0.3333 0.7724
Ba16 0.0000 0.3219 0.8728
Ba17 0.3333 0.6667 0.2724
Ba18 0.6558 0.6558 0.6271
Lu1 0.0000 0.0000 0.5025
Lu2 0.3333 0.6667 0.4982
Lu3 0.6667 0.3333 0.4982
Lu4 0.6667 0.3333 0.9982
Lu5 0.0000 0.0000 0.0025
Lu6 0.3333 0.6667 0.9982


8.
# BeCdFe | the Open Quantum Materials Database | GGA-PBE | optimized geometry
# E_tot: -10.572 eV/cell
# Calculated volume: 16.29 Å³ per atom
# Polymorph energy (0 for the lowest one): 0.000 eV per atom
# Space group: F-43m, No. 216
data_BeCdFe
_cell_length_a 4.1037
_cell_length_b 4.1037
_cell_length_c 4.1037
_cell_angle_alpha 60.00
_cell_angle_beta 60.00
_cell_angle_gamma 60.00
_symmetry_space_group_name_H-M 'P 1'
_symmetry_Int_Tables_number 1
loop_
_symmetry_equiv_pos_as_xyz
'x,y,z'
loop_
_atom_site_label
_atom_site_fract_x
_atom_site_fract_y
_atom_site_fract_z
Be1 0.2500 0.2500 0.2500
Cd1 0.7500 0.7500 0.7500
Fe1 0.0000 0.0000 0.0000


9.
# Sm2AlOs3 | the Open Quantum Materials Database | GGA-PBE | optimized geometry
# E_tot: -97.190 eV/cell
# Calculated volume: 18.70 Å³ per atom
# Space group: P6_3/mmc, No. 194
data_Sm2AlOs3
_cell_length_a 5.4455
_cell_length_b 5.4455
_cell_length_c 8.7368
_cell_angle_alpha 90.00
_cell_angle_beta 90.00
_cell_angle_gamma 120.00
_symmetry_space_group_name_H-M 'P 1'
_symmetry_Int_Tables_number 1
loop_
_symmetry_equiv_pos_as_xyz
'x,y,z'
loop_
_atom_site_label
_atom_site_fract_x
_atom_site_fract_y
_atom_site_fract_z
Al1 0.0000 0.0000 0.5000
Al2 0.0000 0.0000 0.0000
Sm1 0.6667 0.3333 0.9315
Sm2 0.3333 0.6667 0.0685
Sm3 0.3333 0.6667 0.4315
Sm4 0.6667 0.3333 0.5685
Os1 0.8294 0.1706 0.2500
Os2 0.1706 0.8294 0.7500
Os3 0.6588 0.8294 0.7500
Os4 0.1706 0.3412 0.7500
Os5 0.3412 0.1706 0.2500
Os6 0.8294 0.6588 0.2500


10.
# ZrNbAlC | the Open Quantum Materials Database | GGA-PBE | optimized geometry
# E_tot: -67.888 eV/cell
# Calculated volume: 15.96 Å³ per atom
# Polymorph energy (0 for the lowest one): 0.000 eV per atom
# Space group: P6_3mc, No. 186
data_ZrNbAlC
_cell_length_a 3.2097
_cell_length_b 3.2097
_cell_length_c 14.3090
_cell_angle_alpha 90.00
_cell_angle_beta 90.00
_cell_angle_gamma 120.00
_symmetry_space_group_name_H-M 'P 1'
_symmetry_Int_Tables_number 1
loop_
_symmetry_equiv_pos_as_xyz
'x,y,z'
loop_
_atom_site_label
_atom_site_fract_x
_atom_site_fract_y
_atom_site_fract_z
C1 0.0000 0.0000 0.9950
C2 0.0000 0.0000 0.4950
Al1 0.3333 0.6667 0.2554
Al2 0.6667 0.3333 0.7554
Nb1 0.3333 0.6667 0.9109
Nb2 0.6667 0.3333 0.4109
Zr1 0.6667 0.3333 0.0888
Zr2 0.3333 0.6667 0.5888


11.
# Cs2As2Pt | the Open Quantum Materials Database | GGA-PBE | optimized geometry
# E_tot: -39.359 eV/cell
# Calculated volume: 35.09 Å³ per atom
# Space group: Cmcm, No. 63
data_Cs2As2Pt
_cell_length_a 8.3374
_cell_length_b 8.3374
_cell_length_c 6.5668
_cell_angle_alpha 90.00
_cell_angle_beta 90.00
_cell_angle_gamma 129.76
_symmetry_space_group_name_H-M 'P 1'
_symmetry_Int_Tables_number 1
loop_
_symmetry_equiv_pos_as_xyz
'x,y,z'
loop_
_atom_site_label
_atom_site_fract_x
_atom_site_fract_y
_atom_site_fract_z
Pt1 0.0000 0.0000 0.0000
Pt2 0.0000 0.0000 0.5000
Cs1 0.7933 0.2067 0.2500
Cs2 0.5850 0.4150 0.7500
Cs3 0.2067 0.7933 0.7500
Cs4 0.4150 0.5850 0.2500
As1 0.9257 0.7280 0.2500
As2 0.0743 0.2720 0.7500
As3 0.7280 0.9257 0.7500
As4 0.2720 0.0743 0.2500


12.
# Tl3CoCl6 | the Open Quantum Materials Database | GGA-PBE | optimized geometry
# E_tot: -33.316 eV/cell
# Calculated volume: 27.44 Å³ per atom
# Space group: Fm-3m, No. 225
data_Tl3CoCl6
_cell_length_a 7.2938
_cell_length_b 7.2938
_cell_length_c 7.2938
_cell_angle_alpha 60.00
_cell_angle_beta 60.00
_cell_angle_gamma 60.00
_symmetry_space_group_name_H-M 'P 1'
_symmetry_Int_Tables_number 1
loop_
_symmetry_equiv_pos_as_xyz
'x,y,z'
loop_
_atom_site_label
_atom_site_fract_x
_atom_site_fract_y
_atom_site_fract_z
Cl1 0.7806 0.2194 0.2194
Cl2 0.2194 0.7806 0.7806
Cl3 0.7806 0.7806 0.2194
Cl4 0.2194 0.2194 0.7806
Cl5 0.2194 0.7806 0.2194
Cl6 0.7806 0.2194 0.7806
Tl1 0.5000 0.5000 0.5000
Tl2 0.7500 0.7500 0.7500
Tl3 0.2500 0.2500 0.2500
Co1 0.0000 0.0000 0.0000